A plane-wave DFT calculation with PBE+U was carried out for a relaxed structure of SrCaNiP2O8.

```
SrCaNiP2O8
1.0
5.698 0.000 0.000
-1.048 6.853 0.000
-1.884 -3.423 8.580
Sr Ca Ni P O
2 2 2 4 16
direct
0.233 0.192 0.437 Sr
0.767 0.808 0.563 Sr
0.492 0.576 0.836 Ca
0.508 0.424 0.164 Ca
0.146 0.852 0.059 Ni
0.854 0.148 0.941 Ni
0.111 0.584 0.275 P
0.340 0.034 0.801 P
0.660 0.966 0.199 P
0.889 0.416 0.725 P
0.079 0.411 0.111 O
0.114 0.453 0.662 O
0.131 0.968 0.875 O
0.152 0.801 0.259 O
0.231 0.005 0.632 O
0.348 0.563 0.380 O
0.461 0.100 0.190 O
0.488 0.265 0.907 O
0.512 0.735 0.093 O
0.539 0.900 0.810 O
0.652 0.437 0.620 O
0.769 0.995 0.368 O
0.848 0.199 0.741 O
0.869 0.032 0.125 O
0.886 0.547 0.338 O
0.921 0.589 0.889 O
```

Output
Total magnetization   0.15 μB/atom
Total DFT energy (no corrections)   -6.88 eV/atom
Density   3.731 g cm⁻³